1.
CuReAs: optimized geometry, GGA-PBE.

a = 4.3907 Å, b = 4.3907 Å, c = 2.6476 Å
α = 90.00°, β = 90.00°, γ = 120.00°
Element x y z (fractional)
As (0.0000, 0.0000, 0.8334)
Cu (0.6667, 0.3333, 0.3332)
Re (0.3333, 0.6667, 0.8334)

Summary:
Energy: -6.662 eV per atom
V: 44.2 Å³/cell
ΔE_f: 9.3 kcal/mol of atoms
Distance to the lowest polymorph of the same formula: 0.23 eV per formula unit

***

2.
CuReAs2: optimized geometry, GGA-PBE.

a = 3.1289 Å, b = 3.9406 Å, c = 5.0555 Å
α = 90.00°, β = 90.00°, γ = 90.00°
Element x y z (fractional)
Re (0.5000, 0.5000, 0.7898)
Cu (0.0000, 0.0000, 0.4592)
As (0.5000, 0.5000, 0.3033)
As (0.0000, 0.0000, 0.9477)

Summary:
Energy: -6.145 eV per atom
V: 62.3 Å³/cell
ΔE_f: 7.3 kcal/mol of atoms
Distance to the lowest polymorph of the same formula: 0.58 eV per formula unit

***

3.
CuReAs2: optimized geometry, GGA-PBE.

a = 4.6614 Å, b = 2.6213 Å, c = 5.2505 Å
α = 89.99°, β = 90.00°, γ = 90.00°
Element x y z (fractional)
As (0.0000, 0.7509, 0.5008)
As (0.0000, 0.7491, 0.9992)
Re (0.5000, 0.7500, 0.7500)
Cu (0.5000, 0.2500, 0.2500)

Summary:
Energy: -5.976 eV per atom
V: 64.2 Å³/cell
ΔE_f: 11.2 kcal/mol of atoms
Distance to the lowest polymorph of the same formula: 1.26 eV per formula unit

***

4.
CuRe2As: optimized geometry, GGA-PBE.

a = 2.8515 Å, b = 4.8108 Å, c = 5.2565 Å
α = 53.72°, β = 90.00°, γ = 90.00°
Element x y z (fractional)
Re (0.5000, 0.5000, 0.0000)
Re (0.0000, 0.0000, 0.0000)
Cu (0.0000, 0.0000, 0.5000)
As (0.5000, 0.5000, 0.5000)

Summary:
Energy: -7.960 eV per atom
V: 58.1 Å³/cell
ΔE_f: 10.4 kcal/mol of atoms

***

5.
CuReAs2: optimized geometry, GGA-PBE.

a = 5.6640 Å, b = 5.6640 Å, c = 6.6773 Å
α = 64.90°, β = 64.90°, γ = 90.00°
Element x y z (fractional)
As (0.6291, 0.1250, 0.2500)
As (0.3750, 0.3709, 0.7500)
As (0.8750, 0.8791, 0.7500)
As (0.1209, 0.6250, 0.2500)
Re (0.0000, 0.0000, 0.0000)
Re (0.7500, 0.2500, 0.5000)
Cu (0.2500, 0.7500, 0.5000)
Cu (0.5000, 0.5000, 0.0000)

Summary:
Energy: -6.036 eV per atom
V: 171.4 Å³/cell
ΔE_f: 9.8 kcal/mol of atoms
Distance to the lowest polymorph of the same formula: 1.02 eV per formula unit

***

6.
CuRe3As: optimized geometry, GGA-PBE.

a = 4.4872 Å, b = 4.4872 Å, c = 4.4872 Å
α = 90.00°, β = 90.00°, γ = 90.00°
Element x y z (fractional)
Re (0.0000, 0.5000, 0.0000)
Re (0.5000, 0.0000, 0.0000)
Re (0.0000, 0.0000, 0.5000)
As (0.5000, 0.5000, 0.5000)
Cu (0.0000, 0.0000, 0.0000)

Summary:
Energy: -7.079 eV per atom
V: 90.3 Å³/cell
ΔE_f: 49.3 kcal/mol of atoms
Distance to the lowest polymorph of the same formula: 1.53 eV per formula unit

***

7.
CuRe2As: optimized geometry, GGA-PBE.

a = 4.6951 Å, b = 4.6951 Å, c = 4.6951 Å
α = 131.01°, β = 131.01°, γ = 71.80°
Element x y z (fractional)
As (0.5000, 0.5000, 0.0000)
Cu (0.7500, 0.2500, 0.5000)
Re (0.2500, 0.7500, 0.5000)
Re (0.0000, 0.0000, 0.0000)

Summary:
Energy: -7.948 eV per atom
V: 57.7 Å³/cell
ΔE_f: 10.7 kcal/mol of atoms

***

8.
CuRe2As: optimized geometry, GGA-PBE.

a = 3.9227 Å, b = 2.9140 Å, c = 5.4157 Å
α = 73.84°, β = 90.00°, γ = 90.00°
Element x y z (fractional)
Cu (0.5000, 0.7039, 0.7211)
Re (0.5000, 0.4420, 0.2305)
Re (0.0000, 0.0608, 0.0088)
As (0.0000, 0.2932, 0.5395)

Summary:
Energy: -8.096 eV per atom
V: 59.5 Å³/cell
ΔE_f: 7.2 kcal/mol of atoms